CaGa3Te | PBE | relaxed

The structure in POSCAR format:
```
CaGa3Te
1.0
5.587 0.000 0.000
0.000 5.587 0.000
0.000 0.000 5.587
Ca Ga Te
1 3 1
direct
0.000 0.000 0.000
0.000 0.000 0.500
0.000 0.500 0.000
0.500 0.000 0.000
0.500 0.500 0.500
```

## Properties
The value obtained for the energy above the lowest structure with this stoichiometry is 266 meV per atom. The formation energy without anion corrections comes out at 592.7 meV/atom.